[1]
## Pr5ScAu6 (PBE-GGA)

Data for Pr5ScAu6 after structural relaxation.

DOS at the Fermi energy (states/eV/atom): 0.86
Calculated formation energy (eV/atom): -0.74

a = 16.479 Å, b = 7.415 Å, c = 5.187 Å
α = 90.00°, β = 108.21°, γ = 90.00°
Space group C2/m (No. 12)
Symmetry-distinct sites (fractional):
Pr 0.000 0.000 0.000
Pr 0.164 0.000 0.664
Pr 0.172 0.500 0.672
Sc 0.000 0.500 0.000
Au 0.000 0.283 0.500
Au 0.155 0.269 0.155

[2]
## Ti2NbCdOs (PBE-GGA)

Data for Ti2NbCdOs after structural relaxation.

DOS at the Fermi energy (states/eV/atom): 1.26
Calculated formation energy (eV/atom): 1.11

a = 4.774 Å, b = 4.774 Å, c = 4.786 Å
α = 90.00°, β = 90.00°, γ = 90.00°
Space group P4/mmm (No. 123)
Symmetry-distinct sites (fractional):
Ti 0.000 0.500 0.000
Nb 0.000 0.000 0.000
Cd 0.500 0.500 0.500
Os 0.000 0.000 0.500

[3]
## MnFeHIrPd (PBE-GGA)

Data for MnFeHIrPd after structural relaxation.

Energy relative to the lowest polymorph listed for this composition (meV per atom): 107
DOS at the Fermi energy (states/eV/atom): 1.14

a = 10.197 Å, b = 2.726 Å, c = 4.065 Å
α = 90.00°, β = 90.17°, γ = 90.00°
Space group Cm (No. 8)
Symmetry-distinct sites (fractional):
Mn 0.000 0.000 0.000
Fe 0.353 0.500 0.487
H 0.435 0.000 0.728
Ir 0.094 0.500 0.487
Pd 0.253 0.000 0.993

[4]
## Cr4FeIr7 (PBE-GGA)

Data for Cr4FeIr7 after structural relaxation.

DOS at the Fermi energy (states/eV/atom): 0.92
Calculated formation energy (eV/atom): 0.04

a = 4.672 Å, b = 4.729 Å, c = 7.844 Å
α = 107.51°, β = 92.46°, γ = 90.05°
Space group P-1 (No. 2)
Symmetry-distinct sites (fractional):
Cr 0.227 0.150 0.252
Cr 0.228 0.601 0.253
Fe 0.000 0.000 0.500
Ir 0.164 0.730 0.964
Ir 0.270 0.554 0.610
Ir 0.299 0.162 0.826
Ir 0.500 0.000 0.500

[5]
## ScPBr2 (PBE-GGA)

Data for ScPBr2 after structural relaxation.

Energy relative to the lowest polymorph listed for this composition (meV per atom): 53
Formation energy from raw total energies (eV/atom): -0.9001

a = 8.886 Å, b = 3.734 Å, c = 7.373 Å
α = 90.00°, β = 97.80°, γ = 90.00°
Space group Cm (No. 8)
Symmetry-distinct sites (fractional):
Sc 0.000 0.000 0.000
P 0.204 0.500 0.053
Br 0.069 0.500 0.307
Br 0.372 0.000 0.747

[6]
## ZrScCd2 (PBE-GGA)

Data for ZrScCd2 after structural relaxation.

Energy relative to the lowest polymorph listed for this composition (meV per atom): 135
DOS at the Fermi energy (states/eV/atom): 0.93
Calculated formation energy (eV/atom): -0.04

a = 3.1912 Å, b = 3.1912 Å, c = 30.7819 Å
α = 90.00°, β = 90.00°, γ = 120.00°
Space group R3m (No. 160, hexagonal axes)
Symmetry-distinct sites (fractional):
Zr 0.0000 0.0000 0.0000
Sc 0.0000 0.0000 0.1678
Cd 0.0000 0.0000 0.5824
Cd 0.0000 0.0000 0.7519

[7]
## NaAgBrF (PBE-GGA)

Data for NaAgBrF after structural relaxation.

Energy relative to the lowest polymorph listed for this composition (meV per atom): 0
Formation energy from raw total energies (eV/atom): -1.4098

a = 4.1124 Å, b = 4.1124 Å, c = 37.3425 Å
α = 90.00°, β = 90.00°, γ = 120.00°
Space group R-3m (No. 166, hexagonal axes)
Symmetry-distinct sites (fractional):
Na 0.0000 0.0000 0.1373
Ag 0.0000 0.0000 0.3111
Br 0.0000 0.0000 0.3898
F 0.0000 0.0000 0.1981

[8]
## Tl4Cd3Pb2 (PBE-GGA)

Data for Tl4Cd3Pb2 after structural relaxation.

DOS at the Fermi energy (states/eV/atom): 0.32
Calculated formation energy (eV/atom): 0.05

a = 15.262 Å, b = 11.434 Å, c = 5.996 Å
α = 90.00°, β = 97.15°, γ = 90.00°
Space group C2/c (No. 15)
Symmetry-distinct sites (fractional):
Tl 0.055 0.129 0.014
Tl 0.221 0.375 0.861
Cd 0.000 0.383 0.750
Cd 0.167 0.121 0.577
Pb 0.110 0.367 0.323

[9]
## MgUIrPd (PBE-GGA)

Data for MgUIrPd after structural relaxation.

DOS at the Fermi energy (states/eV/atom): 1.57
Calculated formation energy (eV/atom): -0.41

a = 6.686 Å, b = 6.686 Å, c = 6.686 Å
α = 90.00°, β = 90.00°, γ = 90.00°
Space group F-43m (No. 216)
Symmetry-distinct sites (fractional):
Mg 0.000 0.000 0.000
U 0.000 0.000 0.500
Ir 0.250 0.250 0.250
Pd 0.250 0.250 0.750

[10]
## Cs2HfCl2F4 (PBE-GGA)

Data for Cs2HfCl2F4 after structural relaxation.

DOS at the Fermi energy (states/eV/atom): 0.00
Formation energy from raw total energies (eV/atom): -2.9955

a = 13.039 Å, b = 6.590 Å, c = 5.561 Å
α = 90.00°, β = 93.58°, γ = 90.00°
Space group C2/m (No. 12)
Symmetry-distinct sites (fractional):
Cs 0.143 0.000 0.137
Hf 0.000 0.500 0.500
Cl 0.178 0.500 0.348
F 0.043 0.281 0.733

[11]
## InHg4I2 (PBE-GGA)

Data for InHg4I2 after structural relaxation.

Energy relative to the lowest polymorph listed for this composition (meV per atom): 38
DOS at the Fermi energy (states/eV/atom): 0.75
Formation energy from raw total energies (eV/atom): -0.0948

a = 5.746 Å, b = 5.746 Å, c = 16.379 Å
α = 90.00°, β = 90.00°, γ = 90.00°
Space group I4/mmm (No. 139)
Symmetry-distinct sites (fractional):
In 0.000 0.000 0.000
Hg 0.000 0.000 0.171
Hg 0.000 0.500 0.000
I 0.000 0.000 0.344

[12]
## SmCd9Rh2 (PBE-GGA)

Data for SmCd9Rh2 after structural relaxation.

DOS at the Fermi energy (states/eV/atom): 0.72
Calculated formation energy (eV/atom): -0.14

a = 11.615 Å, b = 11.615 Å, c = 7.574 Å
α = 90.00°, β = 90.00°, γ = 90.00°
Space group I4_1/amd (No. 141, origin choice 2)
Symmetry-distinct sites (fractional):
Sm 0.000 0.250 0.375
Cd 0.000 0.250 0.875
Cd 0.121 0.050 0.681
Rh 0.000 0.000 0.000

It is found that the theoretical density values, taken in the order of the records, are 10.65 7.48 12.06 16.19 3.23 6.62 4.19 10.04 12.47 4.12 7.19 8.89 g/cm³.